Here is a relaxed AlCrFe4 crystal from the Alexandria database. Energies are from GGA-PBE.

Cell: 4.6960 4.6960 4.6960 Å, 60.00 60.00 60.00°
With the nearest neighbours (Å) after each atom.
Element x y z (fractional)
Al (0.0000, 0.0000, 0.0000)  12 Fe 2.75, 4 Cr 2.88
Cr (0.7500, 0.7500, 0.7500)  12 Fe 2.75, 4 Al 2.88
Fe (0.3743, 0.3743, 0.3743)  6 Fe 2.33-2.36
Fe (0.3743, 0.3743, 0.8771)  6 Fe 2.33-2.36
Fe (0.3743, 0.8771, 0.3743)  6 Fe 2.33-2.36
Fe (0.8771, 0.3743, 0.3743)  6 Fe 2.33-2.36

Results
E in eV per atom: -7.8821
ΔE_f in eV/atom: -0.0127